This record from Alexandria via LeMat-Bulk describes a geometry-optimized MnCdAgF6 structure. The functional is PBE+U.

Calculated values
- crystal system = tetragonal
- uncorrected energy (eV/atom) = -4.527

a b c (Å): 5.2005 5.2005 10.2116
angles (deg): 90.00 90.00 90.00
Positions (direct):
F1 0.7149 0.7149 0.3444
F2 0.1721 0.8279 0.1881
F3 0.3279 0.3279 0.6881
F4 0.8279 0.1721 0.1881
F5 0.7851 0.2149 0.8444
F6 0.2149 0.7851 0.8444
F7 0.6842 0.6842 0.9694
F8 0.3158 0.3158 0.9694
F9 0.6721 0.6721 0.6881
F10 0.2851 0.2851 0.3444
F11 0.1842 0.8158 0.4694
F12 0.8158 0.1842 0.4694
Cd1 0.0000 0.0000 0.9961
Cd2 0.5000 0.5000 0.4961
Ag1 0.5000 0.5000 0.1682
Ag2 0.0000 0.0000 0.6682
Mn1 0.5000 0.5000 0.8319
Mn2 0.0000 0.0000 0.3319